Record 1
# PmMg2Ni9 (PBE, relaxed)
# calculated formation energy = -0.25 eV/atom
# calculated total energy = -0.386 Ry/atom
# ρ = 7.35 g/cm3
data_PmMg2Ni9
_cell_length_a 4.8910
_cell_length_b 4.8910
_cell_length_c 23.6145
_cell_angle_alpha 90.00
_cell_angle_beta 90.00
_cell_angle_gamma 120.00
_space_group_name_H-M_alt 'R -3 m'
_space_group_IT_number 166
_space_group_name_Hall '-R 3 2"'
loop_
_atom_site_label
_atom_site_fract_x
_atom_site_fract_y
_atom_site_fract_z
Pm1 0.0000 0.0000 0.0000
Mg1 0.0000 0.0000 0.1443
Ni1 0.0000 0.0000 0.3336
Ni2 0.0000 0.0000 0.5000
Ni3 0.0027 0.5013 0.9151

Record 2
# CaCdAsSe2 (PBE, relaxed)
# calculated total energy = -0.223 Ry/atom
# formation energy without anion corrections = -121 meV/atom
# ρ = 4.46 g/cm3
data_CaCdAsSe2
_cell_length_a 5.341
_cell_length_b 5.341
_cell_length_c 5.025
_cell_angle_alpha 90.00
_cell_angle_beta 90.00
_cell_angle_gamma 90.00
_space_group_name_H-M_alt 'P 4/m m m'
_space_group_IT_number 123
_space_group_name_Hall '-P 4 2'
loop_
_atom_site_label
_atom_site_fract_x
_atom_site_fract_y
_atom_site_fract_z
Ca1 0.000 0.000 0.000
Cd1 0.500 0.500 0.500
As1 0.500 0.500 0.000
Se1 0.000 0.500 0.500

Question: Look up the calculated total energy of the second one.
Answer: -0.223 Ry/atom

Question: Which formula does entry 1 have?
Answer: PmMg2Ni9

Question: Look up the ρ of the second one.
Answer: 4.46 g/cm3